(1)
A PBEsol-optimized structure of Mg2Tc. Source: the Alexandria database, functional meta-GGA SCAN.

Output
Formation enthalpy at 0 K in eV per atom: 0.0797
Excess energy over the best structure of this formula in the dataset in eV/f.u.: 0.000

Lattice parameters (Å, degrees): 10.171 3.119 7.290 90.00 110.26 90.00
Space group C2/m (No. 12)
Unique sites:
Mg: 0.011 0.000 0.212 x4
Mg: 0.166 0.500 0.606 x4
Tc: 0.189 0.500 0.068 x4


(2)
A PBEsol-optimized structure of ZnTcP2. Source: the Alexandria database, functional meta-GGA SCAN.

Output
Formation enthalpy at 0 K in eV per atom: -0.0085

Lattice parameters (Å, degrees): 2.898 2.898 6.725 90.00 90.00 90.00
Space group P4/mmm (No. 123)
Unique sites:
Zn: 0.000 0.000 0.000 x1
Tc: 0.000 0.000 0.500 x1
P: 0.500 0.500 0.287 x2


(3)
A PBEsol-optimized structure of RbC3Br. Source: the Alexandria database, functional meta-GGA SCAN.

Output
Energy relative to the elements, uncorrected in eV/atom: 3.427

Lattice parameters (Å, degrees): 4.332 4.332 4.332 90.00 90.00 90.00
Space group Pm-3m (No. 221)
Unique sites:
Rb: 0.000 0.000 0.000 x1
C: 0.000 0.500 0.500 x3
Br: 0.500 0.500 0.500 x1


(4)
A PBEsol-optimized structure of CaZnCr. Source: the Alexandria database, functional meta-GGA SCAN.

Output
Formation enthalpy at 0 K in eV per atom: 0.0988

Lattice parameters (Å, degrees): 3.347 3.448 10.589 90.00 90.00 90.00
Space group Imm2 (No. 44)
Unique sites:
Ca: 0.000 0.000 0.000 x2
Zn: 0.000 0.000 0.696 x2
Cr: 0.000 0.000 0.293 x2


no.,density of states at the Fermi level (states/eV/f.u.),total energy (eV/atom)
1,1.35,-14.92
2,1.73,-17.35
3,2.74,-10.67
4,1.89,-13.76